Material: Rb3Tl3PbBr8
Method: DFT, PBE
State: optimized geometry

Cell: 9.6482 9.6492 9.7608 Å, 119.64 90.00 120.00°
Positions (direct):
Br (0.7766, 0.0036, 0.2802)
Br (0.7479, 0.4958, 0.7436)
Br (0.2521, 0.5042, 0.2564)
Br (0.7766, 0.5532, 0.2800)
Rb (0.5000, 0.5000, 0.0000)
Br (0.2271, 0.0036, 0.2802)
Br (0.2234, 0.9964, 0.7198)
Rb (0.0000, 0.0000, 0.0000)
Tl (0.5000, 0.5000, 0.5000)
Br (0.2234, 0.4468, 0.7200)
Br (0.7729, 0.9964, 0.7198)
Tl (0.0000, 0.5000, 0.5000)
Tl (0.5000, 0.0000, 0.5000)
Rb (0.0000, 0.5000, 0.0000)
Pb (0.0000, 0.0000, 0.5000)

Computed properties:
ΔE_f (raw) in eV per atom: -1.238
Density in kg/m³: 4410
DOS(E_F) in states/eV/f.u.: 0.00